Entry 1:
Entry from Alexandria: crystalline AgHgAu2 at its relaxed geometry (GGA-PBEsol).

The density of states at the Fermi level comes out at 0.194 states/eV per atom. Its formation energy from the elements is 0.0 eV per formula unit. For the spin magnetization, the calculation gives 0.00 μB per formula unit.

Structure (extended XYZ):
```
4
Lattice="0.0000 3.2810 3.2810 3.2810 0.0000 3.2810 3.2810 3.2810 0.0000" Properties=species:S:1:pos:R:3 pbc="T T T"
Ag 0.0000 0.0000 0.0000
Hg 4.9215 4.9215 4.9215
Au 1.6405 1.6405 1.6405
Au 3.2810 3.2810 3.2810
```

***

Entry 2:
Entry from Alexandria: crystalline AgHgAu2 at its relaxed geometry (GGA-PBEsol).

The density of states at the Fermi level comes out at 0.294 states/eV per atom. Its formation energy from the elements is 0.0 eV per formula unit. For the spin magnetization, the calculation gives 0.00 μB per formula unit.

Structure (extended XYZ):
```
4
Lattice="2.9830 0.0000 0.0000 0.0000 4.0753 0.0000 0.0000 0.0000 5.8169" Properties=species:S:1:pos:R:3 pbc="T T T"
Ag 0.0000 0.0000 0.0000
Hg 0.0000 0.0000 2.9085
Au 1.4915 2.0377 1.4102
Au 1.4915 2.0377 4.4067
```

***

Entry 3:
Entry from Alexandria: crystalline Ag2HgAu at its relaxed geometry (GGA-PBEsol).

The density of states at the Fermi level comes out at 0.343 states/eV per atom. Its formation energy from the elements is 0.0 eV per formula unit. For the spin magnetization, the calculation gives 0.00 μB per formula unit.

Structure (extended XYZ):
```
4
Lattice="4.9552 0.0000 0.0000 0.0000 2.9996 0.0000 -1.6641 0.0000 4.7458" Properties=species:S:1:pos:R:3 pbc="T T T"
Ag 0.0000 0.0000 0.0000
Ag -0.8321 1.4998 2.3729
Hg 1.6455 0.0000 2.3729
Au 2.4776 1.4998 0.0000
```

***

Entry 4:
Entry from Alexandria: crystalline Ag2HgAu at its relaxed geometry (GGA-PBEsol).

The density of states at the Fermi level comes out at 0.271 states/eV per atom. Its formation energy from the elements is 0.1 eV per formula unit. For the spin magnetization, the calculation gives 0.00 μB per formula unit.

Structure (extended XYZ):
```
4
Lattice="3.3191 0.0000 0.0000 0.0000 3.3191 0.0000 0.0000 0.0000 6.4285" Properties=species:S:1:pos:R:3 pbc="T T T"
Ag 0.0000 0.0000 0.0000
Ag 1.6595 1.6595 1.5266
Hg 1.6595 1.6595 4.7636
Au 0.0000 0.0000 3.0607
```

***

Entry 5:
Entry from Alexandria: crystalline Ag2HgAu at its relaxed geometry (GGA-PBEsol).

The density of states at the Fermi level comes out at 0.266 states/eV per atom. Its formation energy from the elements is 0.0 eV per formula unit. For the spin magnetization, the calculation gives 0.00 μB per formula unit.

Structure (extended XYZ):
```
4
Lattice="2.9711 0.0000 0.0000 0.0000 4.0819 0.0000 0.0000 0.0000 5.8140" Properties=species:S:1:pos:R:3 pbc="T T T"
Ag 0.0000 0.0000 0.0000
Ag 1.4855 2.0410 1.4212
Hg 1.4855 2.0410 4.3450
Au 0.0000 0.0000 2.8161
```

***

Entry 6:
Entry from Alexandria: crystalline AgHgAu2 at its relaxed geometry (GGA-PBEsol).

The density of states at the Fermi level comes out at 0.290 states/eV per atom. Its formation energy from the elements is 0.0 eV per formula unit. For the spin magnetization, the calculation gives 0.00 μB per formula unit.

Structure (extended XYZ):
```
4
Lattice="2.9819 0.0000 0.0000 0.0000 4.0812 0.0000 0.0000 0.0000 5.8117" Properties=species:S:1:pos:R:3 pbc="T T T"
Ag 0.0000 0.0000 0.0000
Hg 1.4909 2.0406 4.3292
Au 0.0000 0.0000 2.8331
Au 1.4909 2.0406 1.4022
```

***

Entry 7:
Entry from Alexandria: crystalline AgHgAu4 at its relaxed geometry (GGA-PBEsol).

The density of states at the Fermi level comes out at 0.262 states/eV per atom. Its formation energy from the elements is 0.4 eV per formula unit. For the spin magnetization, the calculation gives 0.00 μB per formula unit.

Structure (extended XYZ):
```
6
Lattice="0.0000 3.8330 3.8330 3.8330 0.0000 3.8330 3.8330 3.8330 0.0000" Properties=species:S:1:pos:R:3 pbc="T T T"
Ag 0.0000 0.0000 0.0000
Hg 1.9165 1.9165 1.9165
Au 4.7921 2.8738 2.8738
Au 2.8738 4.7921 2.8738
Au 2.8738 2.8738 4.7921
Au 4.7921 4.7921 4.7921
```

***

Entry 8:
Entry from Alexandria: crystalline Ag2HgAu at its relaxed geometry (GGA-PBEsol).

The density of states at the Fermi level comes out at 0.271 states/eV per atom. Its formation energy from the elements is 0.1 eV per formula unit. For the spin magnetization, the calculation gives 0.00 μB per formula unit.

Structure (extended XYZ):
```
4
Lattice="1.4758 0.8520 9.4344 -1.4758 0.8520 9.4344 0.0000 -1.7041 9.4344" Properties=species:S:1:pos:R:3 pbc="T T T"
Ag 0.0000 0.0000 0.0000
Ag 0.0000 0.0000 7.1815
Hg 0.0000 0.0000 21.2902
Au 0.0000 0.0000 14.3337
```

***

Entry 9:
Entry from Alexandria: crystalline AgHgAu2 at its relaxed geometry (GGA-PBEsol).

The density of states at the Fermi level comes out at 0.311 states/eV per atom. Its formation energy from the elements is 0.1 eV per formula unit. For the spin magnetization, the calculation gives 0.00 μB per formula unit.

Structure (extended XYZ):
```
4
Lattice="1.4819 0.8556 9.3673 -1.4819 0.8556 9.3673 0.0000 -1.7112 9.3673" Properties=species:S:1:pos:R:3 pbc="T T T"
Ag 0.0000 0.0000 0.0000
Hg 0.0000 0.0000 21.1192
Au 0.0000 0.0000 7.1169
Au 0.0000 0.0000 14.1860
```

***

Entry 10:
Entry from Alexandria: crystalline AgHgAu2 at its relaxed geometry (GGA-PBEsol).

The density of states at the Fermi level comes out at 0.265 states/eV per atom. Its formation energy from the elements is -0.1 eV per formula unit. For the spin magnetization, the calculation gives 0.00 μB per formula unit.

Structure (extended XYZ):
```
4
Lattice="4.1137 0.0000 0.0000 0.0000 4.1137 0.0000 0.0000 0.0000 4.1598" Properties=species:S:1:pos:R:3 pbc="T T T"
Ag 0.0000 0.0000 0.0000
Hg 2.0569 2.0569 0.0000
Au 0.0000 2.0569 2.0799
Au 2.0569 0.0000 2.0799
```

***

Entry 11:
Entry from Alexandria: crystalline Ag2HgAu at its relaxed geometry (GGA-PBEsol).

The density of states at the Fermi level comes out at 0.254 states/eV per atom. Its formation energy from the elements is -0.1 eV per formula unit. For the spin magnetization, the calculation gives 0.00 μB per formula unit.

Structure (extended XYZ):
```
4
Lattice="-2.0716 2.0716 4.0894 2.0716 -2.0716 4.0894 2.0716 2.0716 -4.0894" Properties=species:S:1:pos:R:3 pbc="T T T"
Ag 0.0000 0.0000 0.0000
Ag 0.0000 2.0716 2.0447
Hg 2.0716 0.0000 2.0447
Au 0.0000 0.0000 4.0894
```

***

Entry 12:
Entry from Alexandria: crystalline Ag2Au2I at its relaxed geometry (GGA-PBEsol).

The value obtained for the formation energy from raw total energies is 0.234 eV per atom. The density of states at the Fermi level comes out at 0.437 states/eV per atom. For the spin magnetization, the calculation gives 0.00 μB per formula unit.

Structure (extended XYZ):
```
5
Lattice="-1.9908 1.9908 6.6065 1.9908 -1.9908 6.6065 1.9908 1.9908 -6.6065" Properties=species:S:1:pos:R:3 pbc="T T T"
Ag 1.9908 0.0000 3.3032
Ag 0.0000 1.9908 3.3032
Au 0.0000 0.0000 1.3711
Au 0.0000 0.0000 11.8418
I 0.0000 0.0000 6.6065
```

***

Computed DFT total energy, in the same sequence as the records: -11.68 -11.73 -11.11 -11.04 -11.15 -11.72 -19.17 -11.01 -11.61 -11.80 -11.22 -15.07 eV/cell.